A plane-wave DFT calculation with meta-GGA SCAN was carried out for a PBEsol-optimized structure of TaAlAsSe2.

Unit cell a=4.7114 b=4.7114 c=4.6868 alpha=90.00 beta=90.00 gamma=90.00
Closest atoms and distances in Å follow each position.
Element x y z (fractional)
Al 0.0000 0.0000 0.0000  2 As 2.34, 4 Se 2.36
Se 0.5000 0.0000 0.0000  2 Al 2.36
Se 0.0000 0.5000 0.0000  2 Al 2.36
As 0.0000 0.0000 0.5000  2 Al 2.34
Ta 0.5000 0.5000 0.5000  8 Se 3.32, 4 As 3.33

The uncorrected formation energy is 0.724 eV per atom. The value obtained for the energy is -26.21 eV per atom. The symmetry is P4/mmm (123). The calculation puts the energy above the most stable polymorph in this dataset at 591.3 meV per atom. The calculated density is 7.04 g/cm³.

---

A plane-wave DFT calculation with meta-GGA SCAN was carried out for a PBEsol-optimized structure of SrCa3Ir.

Unit cell a=5.5789 b=5.5789 c=5.5789 alpha=90.00 beta=90.00 gamma=90.00
Closest atoms and distances in Å follow each position.
Element x y z (fractional)
Ca 0.5000 0.0000 0.0000  2 Ir 2.79
Sr 0.5000 0.5000 0.5000  12 Ca 3.94
Ir 0.0000 0.0000 0.0000  6 Ca 2.79
Ca 0.0000 0.5000 0.0000  2 Ir 2.79
Ca 0.0000 0.0000 0.5000  2 Ir 2.79

The formation energy from the elements is -225.4 meV/atom. The value obtained for the energy is -24.70 eV per atom. The symmetry is Pm-3m (221). The calculated density is 3.83 g/cm³.

---

A plane-wave DFT calculation with meta-GGA SCAN was carried out for a PBEsol-optimized structure of SrTi2InNi.

Unit cell a=5.0795 b=5.0795 c=5.8987 alpha=90.00 beta=90.00 gamma=90.00
Closest atoms and distances in Å follow each position.
Element x y z (fractional)
Ti 0.5000 0.0000 0.0000  2 In 2.54
Sr 0.0000 0.0000 0.5000  2 In 2.95
Ti 0.0000 0.5000 0.0000  2 In 2.54
Ni 0.5000 0.5000 0.5000  4 Sr 3.59, 8 Ti 3.89
In 0.0000 0.0000 0.0000  4 Ti 2.54

The formation energy from the elements is 1243.5 meV/atom. The value obtained for the energy is -19.54 eV per atom. The symmetry is P4/mmm (123). The calculated density is 3.89 g/cm³.

---

A plane-wave DFT calculation with meta-GGA SCAN was carried out for a PBEsol-optimized structure of Mn2GeMoO.

Unit cell a=4.8344 b=4.4610 c=4.4610 alpha=90.00 beta=90.00 gamma=90.00
Closest atoms and distances in Å follow each position.
Element x y z (fractional)
O 0.5000 0.5000 0.5000  4 Ge 3.15, 8 Mn 3.29
Ge 0.5000 0.0000 0.0000  2 Mo 2.42
Mo 0.0000 0.0000 0.0000  4 Mn 2.23, 2 Ge 2.42
Mn 0.0000 0.0000 0.5000  2 Mo 2.23
Mn 0.0000 0.5000 0.0000  2 Mo 2.23

The uncorrected formation energy is 1.274 eV per atom. The value obtained for the energy is -18.07 eV per atom. The symmetry is P4/mmm (123). The calculated density is 5.08 g/cm³.

---

A plane-wave DFT calculation with meta-GGA SCAN was carried out for a PBEsol-optimized structure of MnFe4.

Unit cell a=2.3956 b=2.3956 c=9.9723 alpha=94.62 beta=94.62 gamma=109.26
Closest atoms and distances in Å follow each position.
Element x y z (fractional)
Fe 0.8004 0.8004 0.6008  8 Fe 2.40-2.43
Fe 0.5994 0.5994 0.1987  6 Fe 2.40-2.42, 2 Mn 2.40
Fe 0.1996 0.1996 0.3992  8 Fe 2.40-2.43
Fe 0.4006 0.4006 0.8013  6 Fe 2.40-2.42, 2 Mn 2.40
Mn 0.0000 0.0000 0.0000  4 Mn 2.40, 4 Fe 2.40

The formation energy from the elements is 33.2 meV/atom. The value obtained for the energy is -18.12 eV per atom. The symmetry is Fmmm (69). The calculation puts the energy above the most stable polymorph in this dataset at 0.0 meV per atom. The calculated density is 8.64 g/cm³.

---

A plane-wave DFT calculation with meta-GGA SCAN was carried out for a PBEsol-optimized structure of Rb2AsPd.

Unit cell a=4.6909 b=9.5225 c=9.5225 alpha=86.52 beta=75.74 gamma=75.74
Closest atoms and distances in Å follow each position.
Element x y z (fractional)
Rb 0.8750 0.2744 0.2256  2 Pd 3.33, 2 As 3.72
Rb 0.8994 0.2256 0.7256  2 Pd 3.33, 2 As 3.72
Pd 0.7500 0.5000 0.5000  2 As 2.35
Pd 0.0000 0.0000 0.0000  2 As 2.35
Rb 0.8506 0.7744 0.2744  2 Pd 3.33, 2 As 3.72
As 0.2500 0.5000 0.5000  2 Pd 2.35
As 0.5000 0.0000 0.0000  2 Pd 2.35
Rb 0.3750 0.7256 0.7744  2 Pd 3.33, 2 As 3.72

The formation energy from the elements is -337.0 meV/atom. The value obtained for the energy is -23.95 eV per atom. The symmetry is I-42d (122). The calculated density is 2.93 g/cm³.

---

A plane-wave DFT calculation with meta-GGA SCAN was carried out for a PBEsol-optimized structure of SrCd2Sb2.

Unit cell a=4.7006 b=4.7006 c=7.7297 alpha=90.00 beta=90.00 gamma=120.00
Closest atoms and distances in Å follow each position.
Element x y z (fractional)
Sr 0.0000 0.0000 0.0000  6 Sb 3.33
Sb 0.6667 0.3333 0.7509  4 Cd 2.87-2.96
Cd 0.6667 0.3333 0.3681  4 Sb 2.87-2.96
Sb 0.3333 0.6667 0.2491  4 Cd 2.87-2.96
Cd 0.3333 0.6667 0.6319  4 Sb 2.87-2.96

The uncorrected formation energy is -0.589 eV per atom. The value obtained for the energy is -32.11 eV per atom. The symmetry is P-3m1 (164). The calculated density is 6.24 g/cm³.

---

A plane-wave DFT calculation with meta-GGA SCAN was carried out for a PBEsol-optimized structure of Ca2LaSi.

Unit cell a=4.6122 b=4.6122 c=6.2048 alpha=111.82 beta=111.82 gamma=90.00
Closest atoms and distances in Å follow each position.
Element x y z (fractional)
Ca 0.2500 0.7500 0.5000  4 Ca 3.26, 4 La 3.50, 4 Si 3.50
Si 0.0000 0.0000 0.0000  4 La 3.26, 8 Ca 3.50
La 0.5000 0.5000 0.0000  4 Si 3.26, 8 Ca 3.50
Ca 0.7500 0.2500 0.5000  4 Ca 3.26, 4 La 3.50, 4 Si 3.50

The uncorrected formation energy is -0.082 eV per atom. The value obtained for the energy is -18.19 eV per atom. The symmetry is I4/mmm (139). The calculated density is 3.65 g/cm³.

---

A plane-wave DFT calculation with meta-GGA SCAN was carried out for a PBEsol-optimized structure of CoNiMo2Ir.

Unit cell a=4.2948 b=4.2948 c=4.4247 alpha=90.00 beta=90.00 gamma=90.00
Closest atoms and distances in Å follow each position.
Element x y z (fractional)
Co 0.5000 0.5000 0.5000  4 Ir 3.04, 8 Mo 3.08
Mo 0.5000 0.0000 0.0000  2 Ni 2.15
Mo 0.0000 0.5000 0.0000  2 Ni 2.15
Ni 0.0000 0.0000 0.0000  4 Mo 2.15, 2 Ir 2.21
Ir 0.0000 0.0000 0.5000  2 Ni 2.21

The formation energy from the elements is 1477.2 meV/atom. The value obtained for the energy is -33.39 eV per atom. The symmetry is P4/mmm (123). The calculated density is 10.21 g/cm³.

---

A plane-wave DFT calculation with meta-GGA SCAN was carried out for a PBEsol-optimized structure of TaMnSe.

Unit cell a=4.0144 b=4.0144 c=4.0144 alpha=60.00 beta=60.00 gamma=60.00
Closest atoms and distances in Å follow each position.
Element x y z (fractional)
Se 0.0000 0.0000 0.0000  4 Mn 2.46
Mn 0.2500 0.2500 0.2500  4 Ta 2.46, 4 Se 2.46
Ta 0.5000 0.5000 0.5000  4 Mn 2.46

The uncorrected formation energy is -0.117 eV per atom. The value obtained for the energy is -35.09 eV per atom. The symmetry is F-43m (216). The calculated density is 11.43 g/cm³.

---

A plane-wave DFT calculation with meta-GGA SCAN was carried out for a PBEsol-optimized structure of LiLaNF2.

Unit cell a=4.3409 b=4.6796 c=4.6796 alpha=90.00 beta=90.00 gamma=90.00
Closest atoms and distances in Å follow each position.
Element x y z (fractional)
N 0.5000 0.0000 0.0000  2 La 2.17
F 0.0000 0.5000 0.0000  2 La 2.34
La 0.0000 0.0000 0.0000  2 N 2.17, 4 F 2.34
F 0.0000 0.0000 0.5000  2 La 2.34
Li 0.5000 0.5000 0.5000  8 F 3.19, 4 N 3.31

The uncorrected formation energy is -2.079 eV per atom. The value obtained for the energy is -14.45 eV per atom. The symmetry is P4/mmm (123). The calculated density is 3.46 g/cm³.

---

A plane-wave DFT calculation with meta-GGA SCAN was carried out for a PBEsol-optimized structure of CuAsPb.

Unit cell a=3.2377 b=3.2377 c=6.1732 alpha=105.20 beta=105.20 gamma=90.00
Closest atoms and distances in Å follow each position.
Element x y z (fractional)
As 0.0429 0.0429 0.0858  4 Cu 2.53
Cu 0.6360 0.6360 0.2719  4 As 2.53
Pb 0.3211 0.3211 0.6423  4 Cu 3.12, 5 As 3.19-3.42, 4 Pb 3.24

The formation energy from the elements is 212.9 meV/atom. The value obtained for the energy is -36.84 eV per atom. The symmetry is I4mm (107). The calculation puts the energy above the most stable polymorph in this dataset at 198.9 meV per atom. The calculated density is 9.55 g/cm³.

---

A plane-wave DFT calculation with meta-GGA SCAN was carried out for a PBEsol-optimized structure of CdTe2Mo.

Unit cell a=3.3386 b=3.4197 c=9.0083 alpha=100.94 beta=100.68 gamma=90.00
Closest atoms and distances in Å follow each position.
Element x y z (fractional)
Mo 0.3012 0.8012 0.6023  6 Te 2.65-2.75
Te 0.9195 0.9195 0.8390  2 Mo 2.65
Te 0.7223 0.2223 0.4446  4 Mo 2.75
Cd 0.5570 0.5570 0.1141  4 Cd 3.34-3.42, 6 Te 3.34-3.38

The uncorrected formation energy is 0.163 eV per atom. The value obtained for the energy is -34.79 eV per atom. The symmetry is Imm2 (44). The calculated density is 7.76 g/cm³.

---

A plane-wave DFT calculation with meta-GGA SCAN was carried out for a PBEsol-optimized structure of KSrP.

Unit cell a=5.0404 b=8.3845 c=8.7885 alpha=90.00 beta=90.00 gamma=90.00
Closest atoms and distances in Å follow each position.
Element x y z (fractional)
P 0.2500 0.7908 0.4009  4 Sr 3.01-3.03, 1 K 3.30
K 0.7500 0.9819 0.1712  5 P 3.30-3.67, 2 Sr 3.60
Sr 0.2500 0.6523 0.0848  4 P 3.01-3.03
P 0.7500 0.2092 0.5991  4 Sr 3.01-3.03, 1 K 3.30
Sr 0.7500 0.3477 0.9152  4 P 3.01-3.03
P 0.2500 0.2908 0.0991  4 Sr 3.01-3.03, 1 K 3.30
K 0.2500 0.0181 0.8288  5 P 3.30-3.67, 2 Sr 3.60
K 0.7500 0.4819 0.3288  5 P 3.30-3.67, 2 Sr 3.60
K 0.2500 0.5181 0.6712  5 P 3.30-3.67, 2 Sr 3.60
P 0.7500 0.7092 0.9009  4 Sr 3.01-3.03, 1 K 3.30
Sr 0.7500 0.8477 0.5848  4 P 3.01-3.03
Sr 0.2500 0.1523 0.4152  4 P 3.01-3.03

The formation energy from the elements is -901.1 meV/atom. The value obtained for the energy is -14.57 eV per atom. The symmetry is Pnma (62). The calculated density is 2.82 g/cm³.

---

A plane-wave DFT calculation with meta-GGA SCAN was carried out for a PBEsol-optimized structure of LiLaTl2.

Unit cell a=4.0871 b=5.1375 c=5.1375 alpha=90.00 beta=90.00 gamma=90.00
Closest atoms and distances in Å follow each position.
Element x y z (fractional)
Tl 0.0000 0.5000 0.0000  4 La 3.28, 4 Li 3.28, 4 Tl 3.63
La 0.5000 0.5000 0.5000  8 Tl 3.28, 4 Li 3.63
Li 0.5000 0.0000 0.0000  8 Tl 3.28, 4 La 3.63
Tl 0.0000 0.0000 0.5000  4 Li 3.28, 4 La 3.28, 4 Tl 3.63

The formation energy from the elements is -465.9 meV/atom. The value obtained for the energy is -48.02 eV per atom. The symmetry is P4/mmm (123). The calculated density is 8.54 g/cm³.

---

A plane-wave DFT calculation with meta-GGA SCAN was carried out for a PBEsol-optimized structure of NiMoPt2.

Unit cell a=2.6977 b=4.6731 c=4.6858 alpha=99.58 beta=90.00 gamma=106.78
Closest atoms and distances in Å follow each position.
Element x y z (fractional)
Mo 0.4970 0.9940 0.4995  7 Pt 2.65-2.76, 3 Ni 2.67-2.73, 2 Mo 2.70
Pt 0.2484 0.4969 0.7343  4 Ni 2.64-2.77, 3 Mo 2.65-2.69, 5 Pt 2.70-2.78
Ni 0.7514 0.5028 0.2511  7 Pt 2.64-2.77, 3 Mo 2.67-2.73, 2 Ni 2.70
Pt 0.0032 0.0063 0.0151  4 Mo 2.65-2.76, 3 Ni 2.67-2.68, 5 Pt 2.70-2.78

The formation energy from the elements is -220.4 meV/atom. The value obtained for the energy is -48.08 eV per atom. The symmetry is Cm (8). The calculation puts the energy above the most stable polymorph in this dataset at 89.2 meV per atom. The calculated density is 16.24 g/cm³.

---

A plane-wave DFT calculation with meta-GGA SCAN was carried out for a PBEsol-optimized structure of HgTeW2.

Unit cell a=2.9362 b=2.9362 c=10.1163 alpha=90.00 beta=90.00 gamma=112.82
Closest atoms and distances in Å follow each position.
Element x y z (fractional)
W 0.0000 0.0000 0.9734  2 W 2.54
W 0.5000 0.5000 0.7798  2 W 2.54
Hg 0.0000 0.0000 0.5347  6 Hg 2.94-3.25, 2 W 2.96
Te 0.5000 0.5000 0.2121  2 W 2.91, 6 Te 2.94-3.25

The uncorrected formation energy is 0.628 eV per atom. The value obtained for the energy is -60.57 eV per atom. The symmetry is Cmm2 (35). The calculation puts the energy above the most stable polymorph in this dataset at 136.4 meV per atom. The calculated density is 14.37 g/cm³.

---

A plane-wave DFT calculation with meta-GGA SCAN was carried out for a PBEsol-optimized structure of Be2AlCl.

Unit cell a=5.4910 b=6.0138 c=5.4910 alpha=62.84 beta=90.00 gamma=117.16
Closest atoms and distances in Å follow each position.
Element x y z (fractional)
Be 0.6554 0.7500 0.3750  2 Cl 2.16, 2 Al 2.36
Be 0.8750 0.2500 0.6554  2 Cl 2.16, 2 Al 2.36
Cl 0.7500 0.5000 0.7500  4 Be 2.16
Cl 0.0000 0.0000 0.0000  4 Be 2.16
Al 0.5000 0.0000 0.5000  4 Be 2.36
Be 0.3750 0.2500 0.0946  2 Cl 2.16, 2 Al 2.36
Be 0.0946 0.7500 0.8750  2 Cl 2.16, 2 Al 2.36
Al 0.2500 0.5000 0.2500  4 Be 2.36

The uncorrected formation energy is 0.434 eV per atom. The value obtained for the energy is -5.68 eV per atom. The symmetry is I-42d (122). The calculation puts the energy above the most stable polymorph in this dataset at 507.5 meV per atom. The calculated density is 1.93 g/cm³.

---

A plane-wave DFT calculation with meta-GGA SCAN was carried out for a PBEsol-optimized structure of CuAgAs2.

Unit cell a=3.9789 b=3.9789 c=5.0190 alpha=113.35 beta=113.35 gamma=90.00
Closest atoms and distances in Å follow each position.
Element x y z (fractional)
Cu 0.5000 0.5000 0.0000  8 As 2.81-2.88, 4 Ag 2.88
As 0.2500 0.7500 0.5000  4 Ag 2.81, 4 Cu 2.88, 4 As 2.88
Ag 0.7500 0.2500 0.5000  8 As 2.81-2.88, 4 Cu 2.88
As 0.0000 0.0000 0.0000  4 Cu 2.81, 4 As 2.88, 4 Ag 2.88

The formation energy from the elements is 304.2 meV/atom. The value obtained for the energy is -21.43 eV per atom. The symmetry is I-4m2 (119). The calculation puts the energy above the most stable polymorph in this dataset at 138.2 meV per atom. The calculated density is 8.11 g/cm³.

---

A plane-wave DFT calculation with meta-GGA SCAN was carried out for a PBEsol-optimized structure of CsKTe2Ir.

Unit cell a=5.3074 b=5.3074 c=5.8728 alpha=90.00 beta=90.00 gamma=90.00
Closest atoms and distances in Å follow each position.
Element x y z (fractional)
Te 0.5000 0.0000 0.0000  2 Ir 2.65
Te 0.0000 0.5000 0.0000  2 Ir 2.65
Cs 0.5000 0.5000 0.5000  4 K 3.75, 8 Te 3.96
K 0.0000 0.0000 0.5000  2 Ir 2.94
Ir 0.0000 0.0000 0.0000  4 Te 2.65, 2 K 2.94

The uncorrected formation energy is -0.231 eV per atom. The value obtained for the energy is -38.58 eV per atom. The symmetry is P4/mmm (123). The calculated density is 6.22 g/cm³.